[1]
A relaxed structure of Ca2PrPd. Source: the Alexandria database, functional PBE.

The formation energy comes out at -307 meV per atom. The calculation puts the electronic total energy at -3.8007 eV per atom. As for the volume: 29.90 Å³/atom. For the energy above the most stable polymorph in this dataset, the calculation gives 31 kJ/mol of formula units. The density of states at the Fermi level comes out at 3.2 states/eV per cell.

```
Ca2PrPd
1.0
3.604 0.000 0.000
0.000 3.604 0.000
0.000 0.000 9.211
Ca Pr Pd
2 1 1
direct
0.000 0.000 0.184 Ca
0.000 0.000 0.816 Ca
0.500 0.500 0.500 Pr
0.500 0.500 0.000 Pd
```

[2]
A relaxed structure of TlPdPtAu. Source: the Alexandria database, functional PBE.

The formation energy comes out at -64 meV per atom. The calculation puts the electronic total energy at -4.2836 eV per atom. As for the volume: 17.86 Å³/atom. The density of states at the Fermi level comes out at 1.8 states/eV per cell.

```
TlPdPtAu
1.0
0.000 3.294 3.294
3.294 0.000 3.294
3.294 3.294 0.000
Tl Pd Pt Au
1 1 1 1
direct
0.000 0.000 0.000 Tl
0.750 0.750 0.750 Pd
0.250 0.250 0.250 Pt
0.500 0.500 0.500 Au
```